Record 1
## GaPdBr (GGA-PBE)

Data for a relaxed GaPdBr crystal.

Cell lengths 3.4269, 4.8589, 9.3721 Å; angles 89.43, 87.45, 68.73 degrees
Last column: nearest neighbours and their distance in Å.
Element x y z (fractional)
Ga1 0.6665 0.2997 0.1841  1 Br 2.40, 4 Pd 2.56-2.59
Ga2 0.4568 0.6480 0.4466  3 Pd 2.47-2.66, 2 Br 2.63-2.70
Br1 0.0471 0.4533 0.6425  2 Ga 2.63-2.70, 1 Pd 2.74
Br2 0.8505 0.9831 0.9768  1 Ga 2.40, 1 Pd 2.69
Pd1 0.9519 0.7107 0.2316  5 Ga 2.56-2.71, 1 Br 2.69, 1 Pd 2.80
Pd2 0.2017 0.1765 0.3809  3 Ga 2.47-2.59, 1 Br 2.74

Summary:
The excess energy over the best structure of this formula in the dataset comes out at 28 meV per atom. The calculation puts the spin magnetization at 0.000 μB/atom. For the calculated volume, the calculation gives 145.3 Å³/cell. The space-group type is P1, No. 1.

---

Record 2
## CaMg3Pt2 (GGA-PBE)

Data for a relaxed CaMg3Pt2 crystal.

Cell lengths 4.2258, 9.0580, 10.5828 Å; angles 105.51, 90.00, 103.49 degrees
Last column: nearest neighbours and their distance in Å.
Element x y z (fractional)
Pt1 0.8041 0.6081 0.8641  6 Mg 2.68-2.74
Pt2 0.4655 0.9310 0.2159  5 Mg 2.65-2.90
Pt3 0.1959 0.3919 0.1359  6 Mg 2.68-2.74
Pt4 0.6371 0.2742 0.4610  7 Mg 2.56-2.77
Pt5 0.5345 0.0690 0.7841  5 Mg 2.65-2.90
Pt6 0.3629 0.7258 0.5390  7 Mg 2.56-2.77
Mg1 0.3227 0.6453 0.0344  4 Pt 2.71-2.74, 1 Mg 2.95
Mg2 0.7831 0.5663 0.6033  4 Pt 2.60-2.73
Mg3 0.6230 0.2459 0.2055  4 Pt 2.65-2.81, 1 Mg 2.95
Mg4 0.9553 0.9105 0.6642  4 Pt 2.65-2.77, 1 Mg 2.92
Mg5 0.0447 0.0895 0.3358  4 Pt 2.65-2.77, 1 Mg 2.92
Mg6 0.3770 0.7541 0.7945  4 Pt 2.65-2.81, 1 Mg 2.95
Mg7 0.2169 0.4337 0.3967  4 Pt 2.60-2.73
Mg8 0.6773 0.3547 0.9656  4 Pt 2.71-2.74, 1 Mg 2.95
Mg9 0.5000 0.0000 0.5000  2 Pt 2.56
Ca1 0.0000 0.0000 0.0000  6 Pt 3.29-3.35, 6 Mg 3.36-3.42
Ca2 0.8437 0.6875 0.2956  6 Pt 3.28-3.42, 7 Mg 3.42-3.67
Ca3 0.1563 0.3125 0.7044  6 Pt 3.28-3.42, 7 Mg 3.42-3.67

Summary:
The calculation puts the spin magnetization at 0.000 μB/atom. Its raw total energy is -3.854 eV/atom. For the calculated volume, the calculation gives 378.7 Å³/cell. The space-group type is C2/m, No. 12.

---

Record 3
## YTa2P (GGA-PBE)

Data for a relaxed YTa2P crystal.

Cell lengths 5.8490, 5.8490, 4.1922 Å; angles 90.00, 90.00, 145.25 degrees
Last column: nearest neighbours and their distance in Å.
Element x y z (fractional)
P1 0.3092 0.6908 0.5000  4 Ta 2.63, 4 Y 2.91
Y1 0.8993 0.1007 0.0000  4 P 2.91, 3 Ta 2.99-3.13
Ta1 0.6325 0.3675 0.5000  2 P 2.63, 4 Ta 2.76
Ta2 0.1670 0.8330 0.0000  2 P 2.63, 4 Ta 2.76

Summary:
The calculation puts the spin magnetization at 0.000 μB/atom. Its raw total energy is -9.219 eV/atom. For the calculated volume, the calculation gives 81.7 Å³/cell. The space-group type is Amm2, No. 38.

---

Record 4
## Ba2LaNiIr (GGA-PBE)

Data for a relaxed Ba2LaNiIr crystal.

Cell lengths 6.1262, 4.6828, 6.1262 Å; angles 90.00, 90.00, 90.00 degrees
Last column: nearest neighbours and their distance in Å.
Element x y z (fractional)
Ir1 0.0000 0.0000 0.0000  2 Ni 2.34
Ba1 0.5000 0.0000 0.0000  2 Ir 3.06
Ba2 0.0000 0.0000 0.5000  2 Ir 3.06
La1 0.5000 0.5000 0.5000  8 Ba 3.86
Ni1 0.0000 0.5000 0.0000  2 Ir 2.34

Summary:
The calculation puts the spin magnetization at 0.087 μB/atom. Its raw total energy is -4.211 eV/atom. For the calculated volume, the calculation gives 175.7 Å³/cell. The space-group type is P4/mmm, No. 123.

---

Record 5
## ZrAlAs2 (GGA-PBE)

Data for a relaxed ZrAlAs2 crystal.

Cell lengths 6.4857, 6.4857, 6.4857 Å; angles 147.31, 147.60, 46.69 degrees
Last column: nearest neighbours and their distance in Å.
Element x y z (fractional)
Al1 0.2224 0.7224 0.5000  6 As 2.67-2.84
As1 0.7822 0.2822 0.5000  4 Al 2.67, 2 Zr 2.75
As2 0.0398 0.0398 0.0000  4 Zr 2.76, 2 Al 2.84
Zr1 0.4556 0.4556 0.0000  6 As 2.75-2.76

Summary:
The calculation puts the spin magnetization at 0.000 μB/atom. Its raw total energy is -5.908 eV/atom. For the calculated volume, the calculation gives 78.7 Å³/cell. The space-group type is Imm2, No. 44.

---

Record 6
## Ag4TeBr2Cl (GGA-PBE)

Data for a relaxed Ag4TeBr2Cl crystal.

Cell lengths 8.3900, 8.3900, 7.6895 Å; angles 117.25, 117.25, 95.08 degrees
Last column: nearest neighbours and their distance in Å.
Element x y z (fractional)
Ag1 0.2534 0.7491 0.0011  3 Br 2.82-3.07, 2 Te 2.84, 1 Cl 3.12
Ag2 0.7466 0.2509 0.9989  3 Br 2.82-3.07, 2 Te 2.84, 1 Cl 3.12
Ag3 0.2312 0.2688 0.0102  2 Cl 2.79, 1 Te 2.86, 2 Br 2.90
Ag4 0.2491 0.7534 0.5011  3 Br 2.82-3.07, 2 Te 2.84, 1 Cl 3.12
Ag5 0.2312 0.2688 0.4898  2 Cl 2.79, 1 Te 2.86, 2 Br 2.90
Ag6 0.7509 0.2466 0.4989  3 Br 2.82-3.07, 2 Te 2.84, 1 Cl 3.12
Ag7 0.7688 0.7312 0.5102  2 Cl 2.79, 1 Te 2.86, 2 Br 2.90
Ag8 0.7688 0.7312 0.9898  2 Cl 2.79, 1 Te 2.86, 2 Br 2.90
Br1 0.5000 0.5000 0.0000  6 Ag 2.90-3.07
Br2 0.5000 0.0000 0.5000  4 Ag 2.82-2.83
Br3 0.5000 0.0000 0.0000  4 Ag 2.82-2.83
Br4 0.0000 0.0000 0.5000  6 Ag 2.90-3.07
Cl1 0.5000 0.5000 0.5000  6 Ag 2.79-3.12
Cl2 0.0000 0.0000 0.0000  6 Ag 2.79-3.12
Te1 0.0000 0.5000 0.0000  6 Ag 2.84-2.86
Te2 0.0000 0.5000 0.5000  6 Ag 2.84-2.86

Summary:
The calculation puts the spin magnetization at 0.000 μB/atom. Its raw total energy is -2.703 eV/atom. For the calculated volume, the calculation gives 396.1 Å³/cell. The space-group type is C2/c, No. 15.

---

Record 7
## YTa2Sb (GGA-PBE)

Data for a relaxed YTa2Sb crystal.

Cell lengths 3.1218, 3.1218, 9.3667 Å; angles 90.00, 90.00, 105.84 degrees
Last column: nearest neighbours and their distance in Å.
Element x y z (fractional)
Sb1 0.5000 0.5000 0.7500  4 Ta 2.84, 4 Sb 3.12
Ta1 0.0000 0.0000 0.5224  2 Sb 2.84, 4 Ta 3.12, 2 Y 3.17
Ta2 0.0000 0.0000 0.9776  2 Sb 2.84, 4 Ta 3.12, 2 Y 3.17
Y1 0.5000 0.5000 0.2500  4 Y 3.12, 4 Ta 3.17

Summary:
The calculation puts the spin magnetization at 0.000 μB/atom. Its raw total energy is -8.220 eV/atom. For the calculated volume, the calculation gives 87.8 Å³/cell. The space-group type is Cmmm, No. 65.

---

Record 8
## Mo2C2Br (GGA-PBE)

Data for a relaxed Mo2C2Br crystal.

Cell lengths 4.1373, 4.1373, 4.5830 Å; angles 63.17, 63.17, 90.00 degrees
Last column: nearest neighbours and their distance in Å.
Element x y z (fractional)
Mo1 0.7500 0.2500 0.5000  4 C 2.31
Mo2 0.2500 0.7500 0.5000  4 C 2.31
C1 0.6041 0.6041 0.7919  1 C 1.47
C2 0.3959 0.3959 0.2081  1 C 1.47
Br1 0.0000 0.0000 0.0000  8 Mo 2.72, 10 C 2.79-3.02

Summary:
The excess energy over the best structure of this formula in the dataset comes out at 0 meV per atom. The calculation puts the spin magnetization at 0.000 μB/atom. For the calculated volume, the calculation gives 60.4 Å³/cell. The space-group type is I4/mmm, No. 139.

---

Record 9
## Cs6K2Pt (GGA-PBE)

Data for a relaxed Cs6K2Pt crystal.

Cell lengths 10.2826, 10.2706, 14.4550 Å; angles 90.00, 90.28, 90.00 degrees
Last column: nearest neighbours and their distance in Å.
Element x y z (fractional)
Cs1 0.2683 0.2668 0.0000  1 Pt 3.38
Cs2 0.9987 0.9998 0.2667  1 Pt 3.37
Cs3 0.0013 0.0002 0.7333  1 Pt 3.37
Cs4 0.7670 0.7680 0.5000  1 Pt 3.38
Cs5 0.2670 0.7320 0.0000  1 Pt 3.38
Cs6 0.2317 0.7668 0.5000  1 Pt 3.38
Cs7 0.7330 0.2680 0.0000  1 Pt 3.38
Cs8 0.4987 0.5002 0.7667  1 Pt 3.37
Cs9 0.2330 0.2320 0.5000  1 Pt 3.38
Cs10 0.5013 0.4998 0.2333  1 Pt 3.37
Cs11 0.7683 0.2332 0.5000  1 Pt 3.38
Cs12 0.7317 0.7332 0.0000  1 Pt 3.38
K1 0.4971 0.9999 0.2502  12 Cs 5.10-5.16
K2 0.0029 0.4999 0.2498  12 Cs 5.10-5.16
K3 0.5029 0.0001 0.7498  12 Cs 5.10-5.16
K4 0.9971 0.5001 0.7502  12 Cs 5.10-5.16
Pt1 0.5000 0.5000 0.0000  6 Cs 3.37-3.38
Pt2 0.0000 0.0000 0.5000  6 Cs 3.37-3.38

Summary:
The calculation puts the spin magnetization at 0.000 μB/atom. Its raw total energy is -1.510 eV/atom. For the calculated volume, the calculation gives 1526.6 Å³/cell. The space-group type is P2_1/c, No. 14.

---

Record 10
## Zr2FeHW (GGA-PBE)

Data for a relaxed Zr2FeHW crystal.

Cell lengths 5.0317, 3.1262, 5.0317 Å; angles 90.00, 90.00, 90.00 degrees
Last column: nearest neighbours and their distance in Å.
Element x y z (fractional)
Zr1 0.0000 0.0000 0.5000  2 Fe 2.52
Zr2 0.5000 0.0000 0.0000  2 Fe 2.52
W1 0.5000 0.5000 0.5000  8 Zr 2.96, 2 W 3.13
Fe1 0.0000 0.0000 0.0000  2 H 1.56
H1 0.0000 0.5000 0.0000  2 Fe 1.56

Summary:
The excess energy over the best structure of this formula in the dataset comes out at 638 meV per atom. The calculation puts the spin magnetization at 0.211 μB/atom. For the calculated volume, the calculation gives 79.1 Å³/cell. The space-group type is P4/mmm, No. 123.